EuTmB12 | PBE-GGA | optimized geometry

Cell: 5.826 5.826 4.116 Å, 90.00 90.00 90.00°
Site moments in Bohr magnetons follow the coordinates.
Atoms (fractional coordinates):
Eu 0.000 0.000 0.000  6.74
Tm 0.500 0.500 0.000  -0.01
B 0.500 0.000 0.200  0.00
B 0.000 0.500 0.200  0.00
B 0.650 0.150 0.500  0.00
B 0.150 0.650 0.500  0.00
B 0.350 0.150 0.500  0.00
B 0.850 0.650 0.500  0.00
B 0.350 0.850 0.500  0.00
B 0.850 0.350 0.500  0.00
B 0.650 0.850 0.500  0.00
B 0.150 0.350 0.500  0.00
B 0.500 0.000 0.800  0.00
B 0.000 0.500 0.800  0.00

Output
* SG: P4/mmm (123)
* energy of formation: -5.86 eV per formula unit
* crystal system: tetragonal

---

BF3 | PBE-GGA | optimized geometry

Cell: 3.559 3.559 3.559 Å, 60.00 60.00 60.00°
Atoms (fractional coordinates):
B 0.000 0.000 0.000
F 0.250 0.250 0.250
F 0.750 0.750 0.750
F 0.500 0.500 0.500

Output
* SG: Fm-3m (225)
* raw formation energy: 1.5 eV per formula unit
* crystal system: cubic

---

BF4 | PBE-GGA | optimized geometry

Cell: 3.357 3.357 3.357 Å, 90.00 90.00 90.00°
Site moments in Bohr magnetons follow the coordinates.
Atoms (fractional coordinates):
B 0.500 0.500 0.500  -0.01
F 0.000 0.000 0.000  0.71
F 0.500 0.000 0.500  0.07
F 0.000 0.500 0.500  0.07
F 0.500 0.500 0.000  0.07

Output
* SG: Pm-3m (221)
* raw formation energy: -5.2 eV per formula unit
* crystal system: cubic